The following is a PBE calculation of an optimized crystal structure of RbUTeS6, from Alexandria.

```
data_RbUTeS6
_space_group_name_H-M_alt 'I m m a'
_space_group_IT_number 74
_space_group_name_Hall '-I 2b 2'
_cell_length_a 9.169
_cell_length_b 9.666
_cell_length_c 13.313
_cell_angle_alpha 90.00
_cell_angle_beta 90.00
_cell_angle_gamma 90.00
loop_
_atom_site_label
_atom_site_fract_x
_atom_site_fract_y
_atom_site_fract_z
Rb1 0.000 0.250 0.099
U1 0.000 0.000 0.500
Te1 0.250 0.250 0.750
S1 0.000 0.250 0.436
S2 0.000 0.250 0.833
S3 0.202 0.049 0.625
```

density: 3.62 g/cm3
D(E_F): 0.673 states/eV/atom

The following is a PBE calculation of an optimized crystal structure of RbYTeS, from Alexandria.

```
data_RbYTeS
_space_group_name_H-M_alt 'R 3 m'
_space_group_IT_number 160
_space_group_name_Hall 'R 3 -2"'
_cell_length_a 4.2609
_cell_length_b 4.2609
_cell_length_c 25.0173
_cell_angle_alpha 90.00
_cell_angle_beta 90.00
_cell_angle_gamma 120.00
loop_
_atom_site_label
_atom_site_fract_x
_atom_site_fract_y
_atom_site_fract_z
Rb1 0.0000 0.0000 0.0000
Y1 0.0000 0.0000 0.1552
Te1 0.0000 0.0000 0.5629
S1 0.0000 0.0000 0.7668
```

density: 4.23 g/cm3
D(E_F): 0.000 states/eV/atom

The following is a PBE calculation of an optimized crystal structure of Rb2ZrTeS4, from Alexandria.

```
data_Rb2ZrTeS4
_space_group_name_H-M_alt 'I -4'
_space_group_IT_number 82
_space_group_name_Hall 'I -4'
_cell_length_a 7.978
_cell_length_b 7.978
_cell_length_c 8.127
_cell_angle_alpha 90.00
_cell_angle_beta 90.00
_cell_angle_gamma 90.00
loop_
_atom_site_label
_atom_site_fract_x
_atom_site_fract_y
_atom_site_fract_z
Rb1 0.000 0.000 0.000
Rb2 0.000 0.500 0.250
Zr1 0.000 0.000 0.500
Te1 0.000 0.500 0.750
S1 0.146 0.799 0.675
```

density: 3.33 g/cm3

The following is a PBE calculation of an optimized crystal structure of Rb2ThS3, from Alexandria.

```
data_Rb2ThS3
_space_group_name_H-M_alt 'C 1 2/m 1'
_space_group_IT_number 12
_space_group_name_Hall '-C 2y'
_cell_length_a 7.589
_cell_length_b 13.123
_cell_length_c 8.149
_cell_angle_alpha 90.00
_cell_angle_beta 108.51
_cell_angle_gamma 90.00
loop_
_atom_site_label
_atom_site_fract_x
_atom_site_fract_y
_atom_site_fract_z
Rb1 0.000 0.000 0.000
Rb2 0.000 0.155 0.500
Rb3 0.000 0.500 0.500
Th1 0.000 0.333 0.000
S1 0.187 0.500 0.199
S2 0.240 0.309 0.799
```

density: 4.31 g/cm3
D(E_F): 0.000 states/eV/atom

The following is a PBE calculation of an optimized crystal structure of RbTh4S8, from Alexandria.

```
data_RbTh4S8
_space_group_name_H-M_alt 'C 1 2/m 1'
_space_group_IT_number 12
_space_group_name_Hall '-C 2y'
_cell_length_a 14.475
_cell_length_b 8.370
_cell_length_c 10.874
_cell_angle_alpha 90.00
_cell_angle_beta 131.13
_cell_angle_gamma 90.00
loop_
_atom_site_label
_atom_site_fract_x
_atom_site_fract_y
_atom_site_fract_z
Rb1 0.000 0.000 0.000
Th1 0.000 0.248 0.500
Th2 0.237 0.500 0.471
S1 0.006 0.000 0.329
S2 0.011 0.500 0.680
S3 0.246 0.233 0.326
```

density: 4.25 g/cm3
D(E_F): 0.582 states/eV/atom

The following is a PBE calculation of an optimized crystal structure of Rb4Th3S8, from Alexandria.

```
data_Rb4Th3S8
_space_group_name_H-M_alt 'R -3 m'
_space_group_IT_number 166
_space_group_name_Hall '-R 3 2"'
_cell_length_a 8.6273
_cell_length_b 8.6273
_cell_length_c 24.4401
_cell_angle_alpha 90.00
_cell_angle_beta 90.00
_cell_angle_gamma 120.00
loop_
_atom_site_label
_atom_site_fract_x
_atom_site_fract_y
_atom_site_fract_z
Rb1 0.0000 0.0000 0.0000
Rb2 0.0000 0.0000 0.1431
Rb3 0.0000 0.0000 0.5000
Th1 0.0000 0.5000 0.0000
S1 0.0000 0.0000 0.2749
S2 0.0388 0.5194 0.2719
```

density: 4.09 g/cm3
D(E_F): 0.000 states/eV/atom

The following is a PBE calculation of an optimized crystal structure of Rb4ThS4, from Alexandria.

```
data_Rb4ThS4
_space_group_name_H-M_alt 'C 1 2/m 1'
_space_group_IT_number 12
_space_group_name_Hall '-C 2y'
_cell_length_a 15.700
_cell_length_b 4.437
_cell_length_c 11.261
_cell_angle_alpha 90.00
_cell_angle_beta 121.63
_cell_angle_gamma 90.00
loop_
_atom_site_label
_atom_site_fract_x
_atom_site_fract_y
_atom_site_fract_z
Rb1 0.127 0.000 0.401
Rb2 0.204 0.500 0.827
Th1 0.000 0.500 0.000
S1 0.068 0.000 0.906
S2 0.183 0.500 0.253
```

density: 3.49 g/cm3
D(E_F): 0.000 states/eV/atom

The following is a PBE calculation of an optimized crystal structure of Rb2Th2S5, from Alexandria.

```
data_Rb2Th2S5
_space_group_name_H-M_alt 'C m c e'
_space_group_IT_number 64
_space_group_name_Hall '-C 2ac 2'
_cell_length_a 16.177
_cell_length_b 7.915
_cell_length_c 7.922
_cell_angle_alpha 90.00
_cell_angle_beta 90.00
_cell_angle_gamma 90.00
loop_
_atom_site_label
_atom_site_fract_x
_atom_site_fract_y
_atom_site_fract_z
Rb1 0.206 0.000 0.000
Th1 0.000 0.165 0.334
S1 0.000 0.000 0.000
S2 0.108 0.143 0.643
```

density: 5.21 g/cm3
energy relative to the lowest polymorph listed for this composition: 0.0 meV per atom

The following is a PBE calculation of an optimized crystal structure of RbTh6S12, from Alexandria.

```
data_RbTh6S12
_space_group_name_H-M_alt 'R -3 m'
_space_group_IT_number 166
_space_group_name_Hall '-R 3 2"'
_cell_length_a 13.3599
_cell_length_b 13.3599
_cell_length_c 10.0417
_cell_angle_alpha 90.00
_cell_angle_beta 90.00
_cell_angle_gamma 120.00
loop_
_atom_site_label
_atom_site_fract_x
_atom_site_fract_y
_atom_site_fract_z
Rb1 0.0000 0.0000 0.0000
Th1 0.0631 0.5316 0.2834
S1 0.0000 0.3709 0.5000
S2 0.0890 0.1780 0.3580
```

density: 5.98 g/cm3
D(E_F): 0.337 states/eV/atom

The following is a PBE calculation of an optimized crystal structure of Rb2Th3S6, from Alexandria.

```
data_Rb2Th3S6
_space_group_name_H-M_alt 'C 1 2/m 1'
_space_group_IT_number 12
_space_group_name_Hall '-C 2y'
_cell_length_a 7.140
_cell_length_b 12.347
_cell_length_c 8.307
_cell_angle_alpha 90.00
_cell_angle_beta 106.46
_cell_angle_gamma 90.00
loop_
_atom_site_label
_atom_site_fract_x
_atom_site_fract_y
_atom_site_fract_z
Rb1 0.000 0.167 0.000
Th1 0.000 0.000 0.500
Th2 0.000 0.336 0.500
S1 0.230 0.168 0.694
S2 0.235 0.500 0.699
```

density: 5.01 g/cm3
D(E_F): 0.928 states/eV/atom

The following is a PBE calculation of an optimized crystal structure of RbTh2S4, from Alexandria.

```
data_RbTh2S4
_space_group_name_H-M_alt 'C m c m'
_space_group_IT_number 63
_space_group_name_Hall '-C 2c 2'
_cell_length_a 4.145
_cell_length_b 13.707
_cell_length_c 14.186
_cell_angle_alpha 90.00
_cell_angle_beta 90.00
_cell_angle_gamma 90.00
loop_
_atom_site_label
_atom_site_fract_x
_atom_site_fract_y
_atom_site_fract_z
Rb1 0.000 0.114 0.250
Th1 0.000 0.371 0.065
S1 0.000 0.000 0.000
S2 0.000 0.264 0.603
S3 0.000 0.427 0.250
```

density: 5.59 g/cm3
D(E_F): 0.188 states/eV/atom

The following is a PBE calculation of an optimized crystal structure of Rb5ThS5, from Alexandria.

```
data_Rb5ThS5
_space_group_name_H-M_alt 'C 1 2/m 1'
_space_group_IT_number 12
_space_group_name_Hall '-C 2y'
_cell_length_a 15.386
_cell_length_b 6.231
_cell_length_c 9.105
_cell_angle_alpha 90.00
_cell_angle_beta 108.90
_cell_angle_gamma 90.00
loop_
_atom_site_label
_atom_site_fract_x
_atom_site_fract_y
_atom_site_fract_z
Rb1 0.000 0.000 0.000
Rb2 0.178 0.500 0.353
Rb3 0.198 0.500 0.815
Th1 0.000 0.000 0.500
S1 0.000 0.500 0.500
S2 0.130 0.000 0.352
S3 0.137 0.000 0.788
```

density: 3.30 g/cm3
D(E_F): 1.012 states/eV/atom

The following is a PBE calculation of an optimized crystal structure of Rb2Th2S5, from Alexandria.

```
data_Rb2Th2S5
_space_group_name_H-M_alt 'C 1 2/m 1'
_space_group_IT_number 12
_space_group_name_Hall '-C 2y'
_cell_length_a 14.566
_cell_length_b 5.489
_cell_length_c 8.497
_cell_angle_alpha 90.00
_cell_angle_beta 123.08
_cell_angle_gamma 90.00
loop_
_atom_site_label
_atom_site_fract_x
_atom_site_fract_y
_atom_site_fract_z
Rb1 0.130 0.000 0.468
Th1 0.105 0.500 0.894
S1 0.000 0.500 0.500
S2 0.113 0.500 0.220
S3 0.156 0.000 0.908
```

density: 4.64 g/cm3
D(E_F): 0.000 states/eV/atom
energy relative to the lowest polymorph listed for this composition: 38.4 meV per atom

The following is a PBE calculation of an optimized crystal structure of Rb4Th3TiS8, from Alexandria.

```
data_Rb4Th3TiS8
_space_group_name_H-M_alt 'R -3 m'
_space_group_IT_number 166
_space_group_name_Hall '-R 3 2"'
_cell_length_a 8.1227
_cell_length_b 8.1227
_cell_length_c 23.3966
_cell_angle_alpha 90.00
_cell_angle_beta 90.00
_cell_angle_gamma 120.00
loop_
_atom_site_label
_atom_site_fract_x
_atom_site_fract_y
_atom_site_fract_z
Rb1 0.0000 0.0000 0.0000
Rb2 0.0000 0.5000 0.0000
Th1 0.0000 0.5000 0.5000
Ti1 0.0000 0.0000 0.5000
S1 0.0000 0.0000 0.2359
S2 0.0131 0.5065 0.2311
```

density: 5.00 g/cm3
D(E_F): 0.568 states/eV/atom

The following is a PBE calculation of an optimized crystal structure of Rb2ThTlS4, from Alexandria.

```
data_Rb2ThTlS4
_space_group_name_H-M_alt 'P 1 2/m 1'
_space_group_IT_number 10
_space_group_name_Hall '-P 2y'
_cell_length_a 7.478
_cell_length_b 4.253
_cell_length_c 8.088
_cell_angle_alpha 90.00
_cell_angle_beta 108.31
_cell_angle_gamma 90.00
loop_
_atom_site_label
_atom_site_fract_x
_atom_site_fract_y
_atom_site_fract_z
Rb1 0.000 0.000 0.000
Rb2 0.500 0.500 0.000
Th1 0.000 0.500 0.500
Tl1 0.500 0.000 0.500
S1 0.211 0.000 0.700
S2 0.246 0.500 0.303
```

density: 5.00 g/cm3
D(E_F): 0.507 states/eV/atom

The following is a PBE calculation of an optimized crystal structure of Rb3Th2TlS6, from Alexandria.

```
data_Rb3Th2TlS6
_space_group_name_H-M_alt 'C 1 2/m 1'
_space_group_IT_number 12
_space_group_name_Hall '-C 2y'
_cell_length_a 19.651
_cell_length_b 4.291
_cell_length_c 9.317
_cell_angle_alpha 90.00
_cell_angle_beta 105.34
_cell_angle_gamma 90.00
loop_
_atom_site_label
_atom_site_fract_x
_atom_site_fract_y
_atom_site_fract_z
Rb1 0.000 0.000 0.000
Rb2 0.152 0.500 0.338
Th1 0.167 0.500 0.831
Tl1 0.000 0.000 0.500
S1 0.028 0.500 0.762
S2 0.175 0.000 0.641
S3 0.180 0.000 0.046
```

density: 4.90 g/cm3
D(E_F): 0.000 states/eV/atom

The following is a PBE calculation of an optimized crystal structure of Rb4Tm3ThS8, from Alexandria.

```
data_Rb4Tm3ThS8
_space_group_name_H-M_alt 'R -3 m'
_space_group_IT_number 166
_space_group_name_Hall '-R 3 2"'
_cell_length_a 8.1122
_cell_length_b 8.1122
_cell_length_c 23.0970
_cell_angle_alpha 90.00
_cell_angle_beta 90.00
_cell_angle_gamma 120.00
loop_
_atom_site_label
_atom_site_fract_x
_atom_site_fract_y
_atom_site_fract_z
Rb1 0.0000 0.0000 0.0000
Rb2 0.0000 0.5000 0.0000
Tm1 0.0000 0.5000 0.5000
Th1 0.0000 0.0000 0.5000
S1 0.0000 0.0000 0.2297
S2 0.0062 0.5031 0.7688
```

density: 5.06 g/cm3
D(E_F): 0.281 states/eV/atom

The following is a PBE calculation of an optimized crystal structure of Rb4TmTh3S8, from Alexandria.

```
data_Rb4TmTh3S8
_space_group_name_H-M_alt 'R -3 m'
_space_group_IT_number 166
_space_group_name_Hall '-R 3 2"'
_cell_length_a 8.2083
_cell_length_b 8.2083
_cell_length_c 23.3827
_cell_angle_alpha 90.00
_cell_angle_beta 90.00
_cell_angle_gamma 120.00
loop_
_atom_site_label
_atom_site_fract_x
_atom_site_fract_y
_atom_site_fract_z
Rb1 0.0000 0.0000 0.0000
Rb2 0.0000 0.5000 0.0000
Tm1 0.0000 0.0000 0.5000
Th1 0.0000 0.5000 0.5000
S1 0.0000 0.0000 0.2354
S2 0.0089 0.5044 0.2325
```

density: 5.34 g/cm3
D(E_F): 0.646 states/eV/atom

The following is a PBE calculation of an optimized crystal structure of Rb3TmTh2S6, from Alexandria.

```
data_Rb3TmTh2S6
_space_group_name_H-M_alt 'C 1 2/m 1'
_space_group_IT_number 12
_space_group_name_Hall '-C 2y'
_cell_length_a 7.102
_cell_length_b 12.301
_cell_length_c 8.118
_cell_angle_alpha 90.00
_cell_angle_beta 106.97
_cell_angle_gamma 90.00
loop_
_atom_site_label
_atom_site_fract_x
_atom_site_fract_y
_atom_site_fract_z
Rb1 0.000 0.000 0.000
Rb2 0.000 0.332 0.000
Tm1 0.000 0.500 0.500
Th1 0.000 0.166 0.500
S1 0.228 0.337 0.698
S2 0.241 0.000 0.698
```

density: 5.30 g/cm3
D(E_F): 0.582 states/eV/atom

The following is a PBE calculation of an optimized crystal structure of RbThUS4, from Alexandria.

```
data_RbThUS4
_space_group_name_H-M_alt 'I m m a'
_space_group_IT_number 74
_space_group_name_Hall '-I 2b 2'
_cell_length_a 8.505
_cell_length_b 8.699
_cell_length_c 12.160
_cell_angle_alpha 90.00
_cell_angle_beta 90.00
_cell_angle_gamma 90.00
loop_
_atom_site_label
_atom_site_fract_x
_atom_site_fract_y
_atom_site_fract_z
Rb1 0.000 0.250 0.132
Th1 0.000 0.000 0.500
U1 0.250 0.250 0.750
S1 0.000 0.046 0.729
S2 0.210 0.250 0.521
```

density: 5.05 g/cm3
D(E_F): 1.171 states/eV/atom

| no. | formation energy from raw total energies (eV per formula unit) | electronic total energy (eV/atom) |
| --- | --- | --- |
| 1 | -4.87 | -5.00 |
| 2 | -6.27 | -5.24 |
| 3 | -7.76 | -4.74 |
| 4 | -10.10 | -5.31 |
| 5 | -23.82 | -6.73 |
| 6 | -25.32 | -5.63 |
| 7 | -12.63 | -4.49 |
| 8 | -16.02 | -5.94 |
| 9 | -33.41 | -6.76 |
| 10 | -19.09 | -6.19 |
| 11 | -12.72 | -6.43 |
| 12 | -13.57 | -4.22 |
| 13 | -15.68 | -5.90 |
| 14 | -24.94 | -5.75 |
| 15 | -10.08 | -4.79 |
| 16 | -18.48 | -5.28 |
| 17 | -28.65 | -5.40 |
| 18 | -27.01 | -5.66 |
| 19 | -20.43 | -5.62 |
| 20 | -10.86 | -6.72 |